# 1
! ErHf2O3, optimized geometry, DFT PBE-GGA; values from VASP
&SYSTEM
  ibrav = 0, nat = 6, ntyp = 3
/
ATOMIC_SPECIES
Er 167.26 Er.upf
Hf 178.49 Hf.upf
O 16.00 O.upf
ATOMIC_POSITIONS crystal
Er 0.0000 0.0000 0.0000
Hf 0.3333 0.6667 0.3411
Hf 0.6667 0.3333 0.6589
O 0.0000 0.0000 0.5000
O 0.3333 0.6667 0.8180
O 0.6667 0.3333 0.1820
CELL_PARAMETERS angstrom
3.2532 0.0000 0.0000
-1.6266 2.8174 0.0000
0.0000 0.0000 7.9617
! Calculated total energy: -53.0 eV for the cell shown
! Volume: 73.0 Å³/cell
! Symmetry: P-3m1

=====

# 2
! TcSbNO, optimized geometry, DFT PBE-GGA; values from VASP
&SYSTEM
  ibrav = 0, nat = 8, ntyp = 4
/
ATOMIC_SPECIES
Tc 98.00 Tc.upf
Sb 121.76 Sb.upf
N 14.01 N.upf
O 16.00 O.upf
ATOMIC_POSITIONS crystal
Tc 0.2500 0.7500 0.0000
Tc 0.7500 0.2500 0.0000
Sb 0.2500 0.2500 0.3387
Sb 0.7500 0.7500 0.6613
N 0.2500 0.2500 0.8978
N 0.7500 0.7500 0.1022
O 0.2500 0.7500 0.5000
O 0.7500 0.2500 0.5000
CELL_PARAMETERS angstrom
3.8384 0.0000 0.0000
0.0000 3.8384 0.0000
0.0000 0.0000 7.5791
! Offset from the most stable computed form: 31 meV per atom
! Volume: 111.7 Å³/cell
! Symmetry: P4/nmm

=====

# 3
! B2SbMo2, optimized geometry, DFT PBE-GGA; values from VASP
&SYSTEM
  ibrav = 0, nat = 5, ntyp = 3
/
ATOMIC_SPECIES
B 10.81 B.upf
Sb 121.76 Sb.upf
Mo 95.94 Mo.upf
ATOMIC_POSITIONS crystal
B 0.2163 0.7837 0.0000
B 0.7837 0.2163 0.0000
Sb 0.0000 0.0000 0.0000
Mo 0.3462 0.6538 0.5000
Mo 0.6538 0.3462 0.5000
CELL_PARAMETERS angstrom
1.5328 -6.6633 0.0000
1.5328 6.6633 0.0000
0.0000 0.0000 3.1443
! Calculated total energy: -39.5 eV for the cell shown
! Volume: 64.2 Å³/cell
! Symmetry: Cmmm

=====

# 4
! RbBaTc, optimized geometry, DFT PBE-GGA; values from VASP
&SYSTEM
  ibrav = 0, nat = 3, ntyp = 3
/
ATOMIC_SPECIES
Rb 85.47 Rb.upf
Ba 137.33 Ba.upf
Tc 98.00 Tc.upf
ATOMIC_POSITIONS crystal
Rb 0.0000 0.0000 0.0000
Ba 0.5000 0.5000 0.5000
Tc 0.7500 0.7500 0.7500
CELL_PARAMETERS angstrom
0.0000 4.0020 4.0020
4.0020 0.0000 4.0020
4.0020 4.0020 0.0000
! Offset from the most stable computed form: 125 meV per atom
! Volume: 128.2 Å³/cell
! Symmetry: F-43m

=====

# 5
! BaAl2Ag2, optimized geometry, DFT PBE-GGA; values from VASP
&SYSTEM
  ibrav = 0, nat = 5, ntyp = 3
/
ATOMIC_SPECIES
Ba 137.33 Ba.upf
Al 26.98 Al.upf
Ag 107.87 Ag.upf
ATOMIC_POSITIONS crystal
Ba 0.0000 0.0000 0.0000
Al 0.3708 0.3708 0.0000
Al 0.6292 0.6292 0.0000
Ag 0.2500 0.7500 0.5000
Ag 0.7500 0.2500 0.5000
CELL_PARAMETERS angstrom
-2.3476 2.3476 5.3876
2.3476 -2.3476 5.3876
2.3476 2.3476 -5.3876
! Calculated total energy: -16.1 eV for the cell shown
! Volume: 118.8 Å³/cell
! Symmetry: I4/mmm

=====

# 6
! TcBAs, optimized geometry, DFT PBE-GGA; values from VASP
&SYSTEM
  ibrav = 0, nat = 3, ntyp = 3
/
ATOMIC_SPECIES
Tc 98.00 Tc.upf
B 10.81 B.upf
As 74.92 As.upf
ATOMIC_POSITIONS crystal
Tc 0.0000 0.0000 0.0000
B 0.2500 0.2500 0.2500
As 0.7500 0.7500 0.7500
CELL_PARAMETERS angstrom
0.0000 2.8030 2.8030
2.8030 0.0000 2.8030
2.8030 2.8030 0.0000
! Offset from the most stable computed form: 121 meV per atom
! Volume: 44.0 Å³/cell
! Symmetry: F-43m

=====

# 7
! La4In21Pd10, optimized geometry, DFT PBE-GGA; values from VASP
&SYSTEM
  ibrav = 0, nat = 35, ntyp = 3
/
ATOMIC_SPECIES
La 138.91 La.upf
In 114.82 In.upf
Pd 106.42 Pd.upf
ATOMIC_POSITIONS crystal
La 0.1222 0.1222 0.3330
La 0.2295 0.2295 0.8255
La 0.7705 0.7705 0.1745
La 0.8778 0.8778 0.6670
In 0.0093 0.0093 0.0927
In 0.0648 0.0648 0.7976
In 0.1157 0.1157 0.5517
In 0.2004 0.2004 0.0037
In 0.2513 0.2513 0.2949
In 0.2990 0.2990 0.4993
In 0.3702 0.3702 0.8023
In 0.3847 0.3847 0.2961
In 0.3991 0.3991 0.0029
In 0.4579 0.4579 0.6315
In 0.5000 0.5000 0.5000
In 0.5421 0.5421 0.3685
In 0.6009 0.6009 0.9971
In 0.6153 0.6153 0.7039
In 0.6298 0.6298 0.1977
In 0.7010 0.7010 0.5007
In 0.7487 0.7487 0.7051
In 0.7996 0.7996 0.9963
In 0.8843 0.8843 0.4483
In 0.9352 0.9352 0.2024
In 0.9907 0.9907 0.9073
Pd 0.0246 0.0246 0.6111
Pd 0.1361 0.1361 0.1060
Pd 0.2504 0.2504 0.6149
Pd 0.3460 0.3460 0.1119
Pd 0.4945 0.4945 0.8129
Pd 0.5055 0.5055 0.1871
Pd 0.6540 0.6540 0.8881
Pd 0.7496 0.7496 0.3851
Pd 0.8639 0.8639 0.8940
Pd 0.9754 0.9754 0.3889
CELL_PARAMETERS angstrom
11.7258 -2.2922 0.0000
11.7258 2.2922 0.0000
-9.8727 0.0000 14.3218
! Calculated total energy: -148.5 eV for the cell shown
! Volume: 769.9 Å³/cell
! Symmetry: C2/m

=====

# 8
! AcTePt, optimized geometry, DFT PBE-GGA; values from VASP
&SYSTEM
  ibrav = 0, nat = 3, ntyp = 3
/
ATOMIC_SPECIES
Ac 227.00 Ac.upf
Te 127.60 Te.upf
Pt 195.08 Pt.upf
ATOMIC_POSITIONS crystal
Ac 0.0000 0.0000 0.0000
Te 0.2500 0.2500 0.2500
Pt 0.7500 0.7500 0.7500
CELL_PARAMETERS angstrom
0.0000 3.7148 3.7148
3.7148 0.0000 3.7148
3.7148 3.7148 0.0000
! Offset from the most stable computed form: 0 meV per atom
! Volume: 102.5 Å³/cell
! Symmetry: F-43m

=====

# 9
! ScHg, optimized geometry, DFT PBE-GGA; values from VASP
&SYSTEM
  ibrav = 0, nat = 2, ntyp = 2
/
ATOMIC_SPECIES
Sc 44.96 Sc.upf
Hg 200.59 Hg.upf
ATOMIC_POSITIONS crystal
Sc 0.0000 0.0000 0.0000
Hg 0.5000 0.5000 0.5000
CELL_PARAMETERS angstrom
3.5081 0.0000 0.0000
0.0000 3.5081 0.0000
0.0000 0.0000 3.5081
! Volume: 43.2 Å³/cell
! Formation energy from the elements: -9.9 kcal/mol of atoms
! Symmetry: Pm-3m

=====

# 10
! PrZr, optimized geometry, DFT PBE-GGA; values from VASP
&SYSTEM
  ibrav = 0, nat = 16, ntyp = 2
/
ATOMIC_SPECIES
Pr 140.91 Pr.upf
Zr 91.22 Zr.upf
ATOMIC_POSITIONS crystal
Pr 0.2500 0.0019 0.1856
Pr 0.2500 0.1322 0.6567
Pr 0.2500 0.3678 0.6567
Pr 0.2500 0.4981 0.1856
Pr 0.7500 0.5019 0.8144
Pr 0.7500 0.6322 0.3433
Pr 0.7500 0.8678 0.3433
Pr 0.7500 0.9981 0.8144
Zr 0.2500 0.2500 0.1552
Zr 0.2500 0.6454 0.6776
Zr 0.2500 0.7500 0.1344
Zr 0.2500 0.8546 0.6776
Zr 0.7500 0.1454 0.3224
Zr 0.7500 0.2500 0.8656
Zr 0.7500 0.3546 0.3224
Zr 0.7500 0.7500 0.8448
CELL_PARAMETERS angstrom
5.4976 0.0000 0.0000
0.0000 14.0331 0.0000
0.0000 0.0000 5.9965
! Offset from the most stable computed form: 50 meV per atom
! Volume: 462.6 Å³/cell
! Formation energy from the elements: 3.4 kcal/mol of atoms
! Symmetry: Pmmn

=====

# 11
! HgB4Pt, optimized geometry, DFT PBE-GGA; values from VASP
&SYSTEM
  ibrav = 0, nat = 6, ntyp = 3
/
ATOMIC_SPECIES
Hg 200.59 Hg.upf
B 10.81 B.upf
Pt 195.08 Pt.upf
ATOMIC_POSITIONS crystal
Hg 0.0000 0.0000 0.0000
B 0.1202 0.7701 0.3501
B 0.4200 0.7701 0.6499
B 0.5800 0.2299 0.3501
B 0.8798 0.2299 0.6499
Pt 0.5000 0.5000 0.0000
CELL_PARAMETERS angstrom
-1.3624 2.7962 4.3734
1.3624 -2.7962 4.3734
1.3624 2.7962 -4.3734
! Offset from the most stable computed form: 110 meV per atom
! Volume: 66.6 Å³/cell
! Symmetry: Immm

=====

# 12
! NaTcAuO3, optimized geometry, DFT PBE-GGA; values from VASP
&SYSTEM
  ibrav = 0, nat = 24, ntyp = 4
/
ATOMIC_SPECIES
Na 22.99 Na.upf
Tc 98.00 Tc.upf
Au 196.97 Au.upf
O 16.00 O.upf
ATOMIC_POSITIONS crystal
Na 0.2497 0.2500 0.1034
Na 0.2503 0.7500 0.6034
Na 0.7497 0.2500 0.3966
Na 0.7503 0.7500 0.8966
Tc 0.0621 0.2500 0.8663
Tc 0.4379 0.7500 0.3663
Tc 0.5621 0.2500 0.6337
Tc 0.9379 0.7500 0.1337
Au 0.0539 0.2500 0.4078
Au 0.4461 0.7500 0.9078
Au 0.5539 0.2500 0.0922
Au 0.9461 0.7500 0.5922
O 0.0486 0.2500 0.1951
O 0.1049 0.7500 0.9880
O 0.1941 0.2500 0.7650
O 0.3059 0.7500 0.2650
O 0.3951 0.2500 0.4880
O 0.4514 0.7500 0.6951
O 0.5486 0.2500 0.3049
O 0.6049 0.7500 0.5120
O 0.6941 0.2500 0.7350
O 0.8059 0.7500 0.2350
O 0.8951 0.2500 0.0120
O 0.9514 0.7500 0.8049
CELL_PARAMETERS angstrom
10.4339 0.0000 0.0000
0.0000 2.9784 0.0000
0.0000 0.0000 10.4693
! Calculated total energy: -145.0 eV for the cell shown
! Volume: 325.3 Å³/cell
! Symmetry: Pnma

=====

# 13
! HfZr2Mo, optimized geometry, DFT PBE-GGA; values from VASP
&SYSTEM
  ibrav = 0, nat = 4, ntyp = 3
/
ATOMIC_SPECIES
Hf 178.49 Hf.upf
Zr 91.22 Zr.upf
Mo 95.94 Mo.upf
ATOMIC_POSITIONS crystal
Hf 0.0000 0.0000 0.0000
Zr 0.5000 0.5000 0.5000
Zr 0.7500 0.7500 0.7500
Mo 0.2500 0.2500 0.2500
CELL_PARAMETERS angstrom
0.0000 3.4339 3.4339
3.4339 0.0000 3.4339
3.4339 3.4339 0.0000
! Volume: 81.0 Å³/cell
! Formation energy from the elements: 2.5 kcal/mol of atoms
! Symmetry: F-43m

=====

# 14
! DyHo2Ga3Cu2Ni, optimized geometry, DFT PBE-GGA; values from VASP
&SYSTEM
  ibrav = 0, nat = 9, ntyp = 5
/
ATOMIC_SPECIES
Dy 162.50 Dy.upf
Ho 164.93 Ho.upf
Ga 69.72 Ga.upf
Cu 63.55 Cu.upf
Ni 58.69 Ni.upf
ATOMIC_POSITIONS crystal
Dy 0.0000 0.0000 0.0000
Ho 0.0000 0.4103 0.8204
Ho 0.0000 0.8204 0.4103
Ga 0.5000 0.1749 0.4109
Ga 0.5000 0.4109 0.1749
Ga 0.5000 0.6461 0.6461
Cu 0.5000 0.0776 0.7427
Cu 0.5000 0.7427 0.0776
Ni 0.0000 0.4115 0.4115
CELL_PARAMETERS angstrom
3.9735 0.0000 0.0000
0.0000 5.9978 3.4653
0.0000 -5.9978 3.4653
! Calculated total energy: -40.7 eV for the cell shown
! Volume: 165.2 Å³/cell
! Symmetry: Amm2

=====

# 15
! Tb2DyO4, optimized geometry, DFT PBE-GGA; values from VASP
&SYSTEM
  ibrav = 0, nat = 14, ntyp = 3
/
ATOMIC_SPECIES
Tb 158.93 Tb.upf
Dy 162.50 Dy.upf
O 16.00 O.upf
ATOMIC_POSITIONS crystal
Tb 0.0000 0.0000 0.0000
Tb 0.0000 0.0000 0.5000
Tb 0.0000 0.5000 0.0000
Tb 0.5000 0.0000 0.0000
Dy 0.3750 0.3750 0.3750
Dy 0.6250 0.6250 0.6250
O 0.2292 0.7569 0.7569
O 0.2431 0.2431 0.2431
O 0.2431 0.2431 0.7708
O 0.2431 0.7708 0.2431
O 0.7569 0.2292 0.7569
O 0.7569 0.7569 0.2292
O 0.7569 0.7569 0.7569
O 0.7708 0.2431 0.2431
CELL_PARAMETERS angstrom
0.0000 4.7914 4.7914
4.7914 0.0000 4.7914
4.7914 4.7914 0.0000
! Calculated total energy: -112.4 eV for the cell shown
! Volume: 220.0 Å³/cell
! Symmetry: Fd-3m

=====

# 16
! MgSiIr2, optimized geometry, DFT PBE-GGA; values from VASP
&SYSTEM
  ibrav = 0, nat = 8, ntyp = 3
/
ATOMIC_SPECIES
Mg 24.30 Mg.upf
Si 28.09 Si.upf
Ir 192.22 Ir.upf
ATOMIC_POSITIONS crystal
Mg 0.3333 0.6667 0.2500
Mg 0.6667 0.3333 0.7500
Si 0.0000 0.0000 0.0000
Si 0.0000 0.0000 0.5000
Ir 0.3333 0.6667 0.5884
Ir 0.3333 0.6667 0.9116
Ir 0.6667 0.3333 0.0884
Ir 0.6667 0.3333 0.4116
CELL_PARAMETERS angstrom
4.1163 0.0000 0.0000
-2.0582 3.5649 0.0000
0.0000 0.0000 8.5078
! Calculated total energy: -52.8 eV for the cell shown
! Volume: 124.8 Å³/cell
! Symmetry: P6_3/mmc

=====

# 17
! TaTc2As2, optimized geometry, DFT PBE-GGA; values from VASP
&SYSTEM
  ibrav = 0, nat = 5, ntyp = 3
/
ATOMIC_SPECIES
Ta 180.95 Ta.upf
Tc 98.00 Tc.upf
As 74.92 As.upf
ATOMIC_POSITIONS crystal
Ta 0.0000 0.0000 0.0000
Tc 0.2500 0.7500 0.5000
Tc 0.7500 0.2500 0.5000
As 0.3732 0.3732 0.0000
As 0.6268 0.6268 0.0000
CELL_PARAMETERS angstrom
-2.1248 2.1248 4.6307
2.1248 -2.1248 4.6307
2.1248 2.1248 -4.6307
! Offset from the most stable computed form: 0 meV per atom
! Volume: 83.6 Å³/cell
! Symmetry: I4/mmm

=====

# 18
! NaZrHg3O4, optimized geometry, DFT PBE-GGA; values from VASP
&SYSTEM
  ibrav = 0, nat = 9, ntyp = 4
/
ATOMIC_SPECIES
Na 22.99 Na.upf
Zr 91.22 Zr.upf
Hg 200.59 Hg.upf
O 16.00 O.upf
ATOMIC_POSITIONS crystal
Na 0.0000 0.0000 0.0000
Zr 0.5000 0.5000 0.5000
Hg 0.0000 0.5000 0.5000
Hg 0.5000 0.0000 0.5000
Hg 0.5000 0.5000 0.0000
O 0.3019 0.3019 0.3019
O 0.3019 0.6981 0.6981
O 0.6981 0.3019 0.6981
O 0.6981 0.6981 0.3019
CELL_PARAMETERS angstrom
5.9436 0.0000 0.0000
0.0000 5.9436 0.0000
0.0000 0.0000 5.9436
! Calculated total energy: -39.2 eV for the cell shown
! Volume: 210.0 Å³/cell
! Symmetry: P-43m

=====

# 19
! RbPuB, optimized geometry, DFT PBE-GGA; values from VASP
&SYSTEM
  ibrav = 0, nat = 3, ntyp = 3
/
ATOMIC_SPECIES
Rb 85.47 Rb.upf
Pu 244.00 Pu.upf
B 10.81 B.upf
ATOMIC_POSITIONS crystal
Rb 0.0000 0.0000 0.0000
Pu 0.7500 0.7500 0.7500
B 0.5000 0.5000 0.5000
CELL_PARAMETERS angstrom
0.0000 3.3303 3.3303
3.3303 0.0000 3.3303
3.3303 3.3303 0.0000
! Calculated total energy: -16.9 eV for the cell shown
! Volume: 73.9 Å³/cell
! Symmetry: F-43m

=====

# 20
! ScPbAuSe2S, optimized geometry, DFT PBE-GGA; values from VASP
&SYSTEM
  ibrav = 0, nat = 12, ntyp = 5
/
ATOMIC_SPECIES
Sc 44.96 Sc.upf
Pb 207.20 Pb.upf
Au 196.97 Au.upf
Se 78.96 Se.upf
S 32.06 S.upf
ATOMIC_POSITIONS crystal
Sc 0.0000 0.0000 0.0000
Sc 0.0000 0.0000 0.5000
Pb 0.2493 0.7507 0.7500
Pb 0.7507 0.2493 0.2500
Au 0.4626 0.5374 0.2500
Au 0.5374 0.4626 0.7500
Se 0.3590 0.6410 0.0388
Se 0.3590 0.6410 0.4612
Se 0.6410 0.3590 0.5388
Se 0.6410 0.3590 0.9612
S 0.0811 0.9189 0.2500
S 0.9189 0.0811 0.7500
CELL_PARAMETERS angstrom
1.9961 -6.7702 0.0000
1.9961 6.7702 0.0000
0.0000 0.0000 10.1752
! Calculated total energy: -58.7 eV for the cell shown
! Volume: 275.0 Å³/cell
! Symmetry: Cmcm